No. 1
Here is a relaxed ZrBeFeSn crystal from OQMD via LeMat-Bulk. Energies are from GGA-PBE.

Unit cell a=4.534 b=4.534 c=4.534 alpha=60.00 beta=60.00 gamma=60.00
Atoms (fractional coordinates):
1 Zr 0.000 0.000 0.000
2 Be 0.500 0.500 0.500
3 Fe 0.250 0.250 0.250
4 Sn 0.750 0.750 0.750

Calculated values
For the distance to the lowest polymorph of the same formula, the calculation gives 324 meV per atom. Its density is 6.9 g/cm3.

No. 2
Here is a relaxed FeBi2Au crystal from OQMD via LeMat-Bulk. Energies are from GGA-PBE.

Unit cell a=5.120 b=5.120 c=5.120 alpha=60.00 beta=60.00 gamma=60.00
Atoms (fractional coordinates):
1 Fe 0.000 0.000 0.000
2 Bi 0.500 0.500 0.500
3 Bi 0.750 0.750 0.750
4 Au 0.250 0.250 0.250

Calculated values
As for the total energy: -17.51 eV for the cell shown. Its density is 11.7 g/cm3.

No. 3
Here is a relaxed TbTlRe crystal from OQMD via LeMat-Bulk. Energies are from GGA-PBE.

Unit cell a=4.736 b=4.736 c=4.736 alpha=60.00 beta=60.00 gamma=60.00
Atoms (fractional coordinates):
1 Tb 0.000 0.000 0.000
2 Tl 0.750 0.750 0.750
3 Re 0.500 0.500 0.500

Calculated values
As for the total energy: -16.56 eV for the cell shown. Its density is 12.1 g/cm3.

No. 4
Here is a relaxed BaFeNiS3 crystal from OQMD via LeMat-Bulk. Energies are from GGA-PBE.

Unit cell a=7.013 b=7.013 c=9.125 alpha=90.00 beta=90.00 gamma=147.72
Atoms (fractional coordinates):
1 Ba 0.249 0.751 0.750
2 Ba 0.751 0.249 0.250
3 Fe 0.473 0.527 0.250
4 Fe 0.527 0.473 0.750
5 Ni 0.000 0.000 0.000
6 Ni 0.000 0.000 0.500
7 S 0.061 0.939 0.250
8 S 0.381 0.619 0.046
9 S 0.381 0.619 0.454
10 S 0.619 0.381 0.546
11 S 0.619 0.381 0.954
12 S 0.939 0.061 0.750

Calculated values
For the distance to the lowest polymorph of the same formula, the calculation gives 28 meV per atom. Its density is 4.8 g/cm3.

No. 5
Here is a relaxed Ho5Zn2Sb crystal from OQMD via LeMat-Bulk. Energies are from GGA-PBE.

Unit cell a=8.513 b=8.513 c=8.513 alpha=123.43 beta=123.43 gamma=84.15
Atoms (fractional coordinates):
1 Ho 0.000 0.000 0.000
2 Ho 0.010 0.510 0.808
3 Ho 0.202 0.010 0.500
4 Ho 0.298 0.798 0.808
5 Ho 0.490 0.298 0.500
6 Ho 0.500 0.500 0.000
7 Ho 0.510 0.702 0.500
8 Ho 0.702 0.202 0.192
9 Ho 0.798 0.990 0.500
10 Ho 0.990 0.490 0.192
11 Zn 0.138 0.362 0.500
12 Zn 0.362 0.862 0.224
13 Zn 0.638 0.138 0.776
14 Zn 0.862 0.638 0.500
15 Sb 0.250 0.250 0.000
16 Sb 0.750 0.750 0.000

Calculated values
As for the total energy: -66.76 eV for the cell shown. Its density is 8.7 g/cm3.

No. 6
Here is a relaxed Na4GaAg2Sn crystal from OQMD via LeMat-Bulk. Energies are from GGA-PBE.

Unit cell a=4.992 b=4.992 c=7.090 alpha=90.00 beta=90.00 gamma=90.00
Atoms (fractional coordinates):
1 Na 0.000 0.000 0.000
2 Na 0.000 0.500 0.238
3 Na 0.500 0.000 0.762
4 Na 0.500 0.500 0.500
5 Ga 0.500 0.500 0.000
6 Ag 0.000 0.500 0.754
7 Ag 0.500 0.000 0.246
8 Sn 0.000 0.000 0.500

Calculated values
As for the total energy: -18.62 eV for the cell shown. Its density is 4.7 g/cm3.

No. 7
Here is a relaxed Er11Ge10 crystal from OQMD via LeMat-Bulk. Energies are from GGA-PBE.

Unit cell a=11.161 b=11.161 c=11.161 alpha=121.97 beta=121.97 gamma=86.62
Atoms (fractional coordinates):
1 Er 0.058 0.310 0.748
2 Er 0.102 0.427 0.325
3 Er 0.102 0.777 0.675
4 Er 0.161 0.161 0.000
5 Er 0.223 0.898 0.325
6 Er 0.310 0.058 0.748
7 Er 0.310 0.562 0.252
8 Er 0.323 0.323 0.646
9 Er 0.323 0.677 0.000
10 Er 0.427 0.102 0.325
11 Er 0.438 0.690 0.748
12 Er 0.562 0.310 0.252
13 Er 0.573 0.898 0.675
14 Er 0.677 0.323 0.000
15 Er 0.677 0.677 0.354
16 Er 0.690 0.438 0.748
17 Er 0.690 0.942 0.252
18 Er 0.777 0.102 0.675
19 Er 0.839 0.839 0.000
20 Er 0.898 0.223 0.325
21 Er 0.898 0.573 0.675
22 Er 0.942 0.690 0.252
23 Ge 0.028 0.028 0.418
24 Ge 0.028 0.610 0.000
25 Ge 0.121 0.121 0.242
26 Ge 0.121 0.879 0.000
27 Ge 0.140 0.500 0.640
28 Ge 0.250 0.750 0.500
29 Ge 0.388 0.388 0.000
30 Ge 0.390 0.390 0.418
31 Ge 0.390 0.972 0.000
32 Ge 0.500 0.140 0.640
33 Ge 0.500 0.860 0.360
34 Ge 0.610 0.028 0.000
35 Ge 0.610 0.610 0.582
36 Ge 0.612 0.612 0.000
37 Ge 0.750 0.250 0.500
38 Ge 0.860 0.500 0.360
39 Ge 0.879 0.121 0.000
40 Ge 0.879 0.879 0.758
41 Ge 0.972 0.390 0.000
42 Ge 0.972 0.972 0.582

Calculated values
As for the total energy: -228.09 eV for the cell shown. Its density is 9.0 g/cm3.

No. 8
Here is a relaxed KThB crystal from OQMD via LeMat-Bulk. Energies are from GGA-PBE.

Unit cell a=4.720 b=4.720 c=4.720 alpha=60.00 beta=60.00 gamma=60.00
Atoms (fractional coordinates):
1 K 0.000 0.000 0.000
2 Th 0.500 0.500 0.500
3 B 0.250 0.250 0.250

Calculated values
For the distance to the lowest polymorph of the same formula, the calculation gives 0 meV per atom. Its density is 6.3 g/cm3.

No. 9
Here is a relaxed Ho4BIBr4 crystal from OQMD via LeMat-Bulk. Energies are from GGA-PBE.

Unit cell a=9.155 b=9.155 c=8.503 alpha=102.99 beta=102.99 gamma=24.86
Atoms (fractional coordinates):
1 Ho 0.000 0.000 0.196
2 Ho 0.000 0.000 0.804
3 Ho 0.358 0.358 0.927
4 Ho 0.642 0.642 0.073
5 B 0.500 0.500 0.000
6 I 0.500 0.500 0.500
7 Br 0.166 0.166 0.324
8 Br 0.172 0.172 0.843
9 Br 0.828 0.828 0.157
10 Br 0.834 0.834 0.676

Calculated values
As for the total energy: -46.57 eV for the cell shown. Its density is 6.4 g/cm3.

No. 10
Here is a relaxed YGaPt crystal from OQMD via LeMat-Bulk. Energies are from GGA-PBE.

Unit cell a=4.675 b=4.675 c=4.675 alpha=60.00 beta=60.00 gamma=60.00
Atoms (fractional coordinates):
1 Y 0.000 0.000 0.000
2 Ga 0.750 0.750 0.750
3 Pt 0.250 0.250 0.250

Calculated values
As for the total energy: -16.51 eV for the cell shown. Its density is 8.1 g/cm3.

No. 11
Here is a relaxed ErSiNO crystal from OQMD via LeMat-Bulk. Energies are from GGA-PBE.

Unit cell a=5.265 b=8.145 c=4.863 alpha=90.00 beta=90.00 gamma=90.00
Atoms (fractional coordinates):
1 Er 0.020 0.131 0.000
2 Er 0.480 0.131 0.500
3 Er 0.520 0.869 0.000
4 Er 0.980 0.869 0.500
5 Si 0.076 0.589 0.948
6 Si 0.424 0.589 0.448
7 Si 0.576 0.411 0.948
8 Si 0.924 0.411 0.448
9 N 0.117 0.566 0.589
10 N 0.383 0.566 0.089
11 N 0.617 0.434 0.589
12 N 0.883 0.434 0.089
13 O 0.063 0.239 0.507
14 O 0.437 0.239 0.007
15 O 0.563 0.761 0.507
16 O 0.937 0.761 0.007

Calculated values
For the distance to the lowest polymorph of the same formula, the calculation gives 137 meV per atom. Its density is 7.2 g/cm3.

No. 12
Here is a relaxed HfTa2Ge2 crystal from OQMD via LeMat-Bulk. Energies are from GGA-PBE.

Unit cell a=7.000 b=7.000 c=3.541 alpha=90.00 beta=90.00 gamma=90.00
Atoms (fractional coordinates):
1 Hf 0.000 0.000 0.000
2 Hf 0.500 0.500 0.000
3 Ta 0.166 0.334 0.500
4 Ta 0.334 0.834 0.500
5 Ta 0.666 0.166 0.500
6 Ta 0.834 0.666 0.500
7 Ge 0.132 0.632 0.000
8 Ge 0.368 0.132 0.000
9 Ge 0.632 0.868 0.000
10 Ge 0.868 0.368 0.000

Calculated values
For the distance to the lowest polymorph of the same formula, the calculation gives 0 meV per atom. Its density is 13.1 g/cm3.